No. 1
Rb2PtWN4 | OQMD via LeMat-Bulk | PBE | optimized geometry; VASP energy = -53.895 eV per formula unit
1.0
-0.929 -1.835 5.409
1.136 5.617 0.806
-4.481 -0.943 -3.538
Rb N W Pt
2 4 1 1
Direct
0.500 0.500 0.000
0.250 0.750 0.500
0.372 0.166 0.362
0.834 0.196 0.205
0.804 0.010 0.638
0.990 0.628 0.795
0.750 0.250 0.500
0.000 0.000 0.000

***

No. 2
PuP2Pd4 | OQMD via LeMat-Bulk | PBE | optimized geometry; VASP energy = -50.661 eV per formula unit
1.0
7.721 0.000 0.000
0.000 7.721 0.000
0.000 0.000 3.844
Pd P Pu
8 4 2
Direct
0.668 0.085 0.500
0.168 0.415 0.000
0.085 0.668 0.500
0.585 0.832 0.000
0.915 0.332 0.500
0.415 0.168 0.000
0.832 0.585 0.000
0.332 0.915 0.500
0.781 0.781 0.500
0.281 0.719 0.000
0.719 0.281 0.000
0.219 0.219 0.500
0.000 0.000 0.000
0.500 0.500 0.500